Entry 1:
# Pr3ErC8 (PBE, optimized geometry)
data_Pr3ErC8
_chemical_formula_sum 'Pr3 Er1 C8'
_symmetry_space_group_name_H-M 'P 1'
_symmetry_Int_Tables_number 1
_cell_length_a 6.447
_cell_length_b 6.446
_cell_length_c 6.447
_cell_angle_alpha 69.25
_cell_angle_beta 73.05
_cell_angle_gamma 110.75
loop_
_symmetry_equiv_pos_as_xyz
'x,y,z'
loop_
_atom_site_label
_atom_site_fract_x
_atom_site_fract_y
_atom_site_fract_z
C1 0.386 0.000 0.140
C2 0.056 0.000 0.626
C3 0.140 0.526 0.860
C4 0.626 0.682 0.374
C5 0.944 0.318 0.056
C6 0.860 0.000 0.614
C7 0.614 0.474 0.386
C8 0.374 0.000 0.944
Er1 0.000 0.000 0.000
Pr1 0.500 0.000 0.500
Pr2 0.250 0.500 0.250
Pr3 0.750 0.500 0.750
# ΔH_f (0 K): 159 meV per atom
# Magnetization: 0.001 μB/f.u.
# N(E_F): 0.27 states/eV/atom

Entry 2:
# KAlAg (PBE, optimized geometry)
data_KAlAg
_chemical_formula_sum 'K1 Al1 Ag1'
_symmetry_space_group_name_H-M 'P 1'
_symmetry_Int_Tables_number 1
_cell_length_a 5.316
_cell_length_b 5.316
_cell_length_c 5.316
_cell_angle_alpha 60.00
_cell_angle_beta 60.00
_cell_angle_gamma 60.00
loop_
_symmetry_equiv_pos_as_xyz
'x,y,z'
loop_
_atom_site_label
_atom_site_fract_x
_atom_site_fract_y
_atom_site_fract_z
Al1 0.500 0.500 0.500
Ag1 0.000 0.000 0.000
K1 0.750 0.750 0.750
# ΔH_f (0 K): 818 meV per atom
# Magnetization: 0.000 μB/f.u.
# N(E_F): 0.84 states/eV/atom
# Distance to the lowest polymorph of the same formula: 726.1 meV per atom

Entry 3:
# BaSiTc2 (PBE, optimized geometry)
data_BaSiTc2
_chemical_formula_sum 'Ba1 Si1 Tc2'
_symmetry_space_group_name_H-M 'P 1'
_symmetry_Int_Tables_number 1
_cell_length_a 9.813
_cell_length_b 9.813
_cell_length_c 9.813
_cell_angle_alpha 17.97
_cell_angle_beta 17.97
_cell_angle_gamma 17.97
loop_
_symmetry_equiv_pos_as_xyz
'x,y,z'
loop_
_atom_site_label
_atom_site_fract_x
_atom_site_fract_y
_atom_site_fract_z
Si1 0.732 0.732 0.732
Ba1 0.499 0.499 0.499
Tc1 0.001 0.001 0.001
Tc2 0.268 0.268 0.268
# Magnetization: 0.001 μB/f.u.
# N(E_F): 1.21 states/eV/atom
# Raw formation energy: 247 kJ/mol of formula units

Question: Which of these has the lowest N(E_F)?
Answer: Pr3ErC8

Question: Among the records above, which one has the highest N(E_F)?
Answer: BaSiTc2

What did the third record say?
# BaSiTc2 (PBE, optimized geometry)
data_BaSiTc2
_chemical_formula_sum 'Ba1 Si1 Tc2'
_symmetry_space_group_name_H-M 'P 1'
_symmetry_Int_Tables_number 1
_cell_length_a 9.813
_cell_length_b 9.813
_cell_length_c 9.813
_cell_angle_alpha 17.97
_cell_angle_beta 17.97
_cell_angle_gamma 17.97
loop_
_symmetry_equiv_pos_as_xyz
'x,y,z'
loop_
_atom_site_label
_atom_site_fract_x
_atom_site_fract_y
_atom_site_fract_z
Si1 0.732 0.732 0.732
Ba1 0.499 0.499 0.499
Tc1 0.001 0.001 0.001
Tc2 0.268 0.268 0.268
# Magnetization: 0.001 μB/f.u.
# N(E_F): 1.21 states/eV/atom
# Raw formation energy: 247 kJ/mol of formula units